DFT (PBE-GGA) results for a geometry-optimized RbLiAg2Br structure.

Computed properties:
The raw formation energy comes out at 366 meV/atom. The calculation puts the total DFT energy (no corrections) at -1.69 eV/atom. As for the density of states at the Fermi level: 4.36 states/eV/cell.

Cell lengths 6.1870, 6.1870, 6.2949 Å; angles 90.00, 90.00, 90.00 degrees
Last column: nearest neighbours and their distance in Å.
Element x y z (fractional)
Rb 0.0000 0.0000 0.0000  4 Ag 3.09, 2 Br 3.15
Li 0.5000 0.5000 0.5000  4 Br 4.37, 8 Ag 4.41
Ag 0.0000 0.5000 0.0000  2 Rb 3.09
Ag 0.5000 0.0000 0.0000  2 Rb 3.09
Br 0.0000 0.0000 0.5000  2 Rb 3.15

---

DFT (PBE-GGA) results for a geometry-optimized Tb5Pm2PrNd structure.

Computed properties:
The calculation puts the total DFT energy (no corrections) at -4.44 eV/atom. As for the density of states at the Fermi level: 20.52 states/eV/cell.

Cell lengths 9.9871, 9.9871, 9.9871 Å; angles 127.85, 127.85, 76.87 degrees
Last column: nearest neighbours and their distance in Å.
Element x y z (fractional)
Tb 0.0000 0.0000 0.0000  4 Pm 3.51, 8 Tb 3.80, 2 Pr 3.91
Tb 0.0712 0.5712 0.9145  1 Pm 3.04, 1 Nd 3.13
Tb 0.1567 0.0712 0.5000  1 Pm 3.04, 1 Nd 3.13
Tb 0.3433 0.8433 0.9145  1 Pm 3.04, 1 Nd 3.13
Tb 0.4288 0.3433 0.5000  1 Pm 3.04, 1 Nd 3.13
Tb 0.5000 0.5000 0.0000  4 Pm 3.51, 8 Tb 3.80, 2 Pr 3.91
Tb 0.5712 0.6567 0.5000  1 Pm 3.04, 1 Nd 3.13
Tb 0.6567 0.1567 0.0855  1 Pm 3.04, 1 Nd 3.13
Tb 0.8433 0.9288 0.5000  1 Pm 3.04, 1 Nd 3.13
Tb 0.9288 0.4288 0.0855  1 Pm 3.04, 1 Nd 3.13
Pm 0.1174 0.3826 0.5000  1 Pm 2.92, 2 Tb 3.04
Pm 0.3826 0.8826 0.2652  1 Pm 2.92, 2 Tb 3.04
Pm 0.6174 0.1174 0.7348  1 Pm 2.92, 2 Tb 3.04
Pm 0.8826 0.6174 0.5000  1 Pm 2.92, 2 Tb 3.04
Pr 0.2500 0.2500 0.0000  10 Tb 3.62-3.91
Pr 0.7500 0.7500 0.0000  10 Tb 3.62-3.91
Nd 0.2500 0.7500 0.5000  4 Tb 3.13
Nd 0.7500 0.2500 0.5000  4 Tb 3.13

---

DFT (PBE-GGA) results for a geometry-optimized Mo8Au structure.

Computed properties:
The calculation puts the total DFT energy (no corrections) at -9.69 eV/atom. As for the density of states at the Fermi level: 8.59 states/eV/cell.

Cell lengths 6.3567, 6.3567, 6.3567 Å; angles 95.64, 95.64, 143.45 degrees
Last column: nearest neighbours and their distance in Å.
Element x y z (fractional)
Mo 0.0000 0.3282 0.3282  1 Au 2.80, 11 Mo 2.81-2.93
Mo 0.0000 0.6718 0.6718  1 Au 2.80, 11 Mo 2.81-2.93
Mo 0.3282 0.0000 0.3282  1 Au 2.80, 11 Mo 2.81-2.93
Mo 0.3367 0.3367 0.6735  10 Mo 2.79-2.89, 2 Au 2.80
Mo 0.3367 0.6633 0.0000  10 Mo 2.79-2.89, 2 Au 2.80
Mo 0.6633 0.3367 0.0000  10 Mo 2.79-2.89, 2 Au 2.80
Mo 0.6633 0.6633 0.3265  10 Mo 2.79-2.89, 2 Au 2.80
Mo 0.6718 0.0000 0.6718  1 Au 2.80, 11 Mo 2.81-2.93
Au 0.0000 0.0000 0.0000  12 Mo 2.80

---

DFT (PBE-GGA) results for a geometry-optimized Pm2Sn2Ru structure.

Computed properties:
The calculation puts the total DFT energy (no corrections) at -5.90 eV/atom. As for the density of states at the Fermi level: 6.82 states/eV/cell.

Cell lengths 7.9409, 7.9409, 7.9409 Å; angles 132.42, 68.63, 133.62 degrees
Last column: nearest neighbours and their distance in Å.
Element x y z (fractional)
Pm 0.1608 0.2091 0.3699  2 Ru 2.95, 2 Sn 3.23-3.25
Pm 0.3392 0.7091 0.0483  2 Ru 2.95, 2 Sn 3.23-3.25
Pm 0.6608 0.2909 0.9517  2 Ru 2.95, 2 Sn 3.23-3.25
Pm 0.8392 0.7909 0.6301  2 Ru 2.95, 2 Sn 3.23-3.25
Sn 0.0820 0.6863 0.7683  2 Ru 2.76
Sn 0.4180 0.1863 0.6043  2 Ru 2.76
Sn 0.5820 0.8137 0.3957  2 Ru 2.76
Sn 0.9180 0.3137 0.2317  2 Ru 2.76
Ru 0.2500 0.2500 0.0000  4 Sn 2.76, 4 Pm 2.95
Ru 0.7500 0.7500 0.0000  4 Sn 2.76, 4 Pm 2.95

---

DFT (PBE-GGA) results for a geometry-optimized IrPbO2 structure.

Computed properties:
The raw formation energy comes out at -220 meV/atom. The calculation puts the total DFT energy (no corrections) at -5.84 eV/atom. As for the density of states at the Fermi level: 12.39 states/eV/cell.

Cell lengths 3.0942, 3.0942, 22.4834 Å; angles 90.00, 90.00, 120.00 degrees
Last column: nearest neighbours and their distance in Å.
Element x y z (fractional)
Ir 0.0000 0.0000 0.0000  2 O 1.82
Ir 0.3333 0.6667 0.6667  2 O 1.82
Ir 0.6667 0.3333 0.3333  2 O 1.82
Pb 0.0000 0.0000 0.5000  6 O 2.62
Pb 0.3333 0.6667 0.1667  6 O 2.62
Pb 0.6667 0.3333 0.8333  6 O 2.62
O 0.0000 0.0000 0.0812  1 Ir 1.82
O 0.0000 0.0000 0.9188  1 Ir 1.82
O 0.3333 0.6667 0.5855  1 Ir 1.82
O 0.3333 0.6667 0.7478  1 Ir 1.82
O 0.6667 0.3333 0.2522  1 Ir 1.82
O 0.6667 0.3333 0.4145  1 Ir 1.82

---

DFT (PBE-GGA) results for a geometry-optimized LiTi3Zn2O8 structure.

Computed properties:
The raw formation energy comes out at -2484 meV/atom. The calculation puts the total DFT energy (no corrections) at -7.33 eV/atom. As for the density of states at the Fermi level: 21.56 states/eV/cell.

Cell lengths 8.4920, 8.4920, 8.4920 Å; angles 90.00, 90.00, 90.00 degrees
Last column: nearest neighbours and their distance in Å.
Element x y z (fractional)
Li 0.1250 0.3750 0.6250  6 O 2.15
Li 0.3750 0.6250 0.1250  6 O 2.15
Li 0.6250 0.1250 0.3750  6 O 2.15
Li 0.8750 0.8750 0.8750  6 O 2.15
Ti 0.1218 0.1250 0.8718  6 O 1.94-2.07
Ti 0.1250 0.8718 0.1218  6 O 1.94-2.07
Ti 0.1282 0.6218 0.3750  6 O 1.94-2.07
Ti 0.3718 0.3782 0.8750  6 O 1.94-2.07
Ti 0.3750 0.1282 0.6218  6 O 1.94-2.07
Ti 0.3782 0.8750 0.3718  6 O 1.94-2.07
Ti 0.6218 0.3750 0.1282  6 O 1.94-2.07
Ti 0.6250 0.6282 0.8782  6 O 1.94-2.07
Ti 0.6282 0.8782 0.6250  6 O 1.94-2.07
Ti 0.8718 0.1218 0.1250  6 O 1.94-2.07
Ti 0.8750 0.3718 0.3782  6 O 1.94-2.07
Ti 0.8782 0.6250 0.6282  6 O 1.94-2.07
Zn 0.0013 0.5013 0.9987  4 O 1.99-2.00
Zn 0.2487 0.7487 0.7513  4 O 1.99-2.00
Zn 0.2513 0.2513 0.2513  4 O 1.99-2.00
Zn 0.4987 0.4987 0.4987  4 O 1.99-2.00
Zn 0.5013 0.9987 0.0013  4 O 1.99-2.00
Zn 0.7487 0.7513 0.2487  4 O 1.99-2.00
Zn 0.7513 0.2487 0.7487  4 O 1.99-2.00
Zn 0.9987 0.0013 0.5013  4 O 1.99-2.00
O 0.1062 0.6276 0.6107  2 Ti 1.94-2.01, 1 Zn 1.99, 1 Li 2.15
O 0.1107 0.3938 0.3724  2 Ti 1.94-2.01, 1 Zn 1.99, 1 Li 2.15
O 0.1151 0.1151 0.1151  1 Zn 2.00, 3 Ti 2.07
O 0.1224 0.6438 0.1393  2 Ti 1.94-2.01, 1 Zn 1.99, 1 Li 2.15
O 0.1276 0.8893 0.8938  2 Ti 1.94-2.01, 1 Zn 1.99, 1 Li 2.15
O 0.1349 0.8651 0.3651  1 Zn 2.00, 3 Ti 2.07
O 0.1393 0.1224 0.6438  2 Ti 1.94-2.01, 1 Zn 1.99, 1 Li 2.15
O 0.1438 0.3607 0.8776  2 Ti 1.94-2.01, 1 Zn 1.99, 1 Li 2.15
O 0.3562 0.6393 0.3776  2 Ti 1.94-2.01, 1 Zn 1.99, 1 Li 2.15
O 0.3607 0.8776 0.1438  2 Ti 1.94-2.01, 1 Zn 1.99, 1 Li 2.15
O 0.3651 0.1349 0.8651  1 Zn 2.00, 3 Ti 2.07
O 0.3724 0.1107 0.3938  2 Ti 1.94-2.01, 1 Zn 1.99, 1 Li 2.15
O 0.3776 0.3562 0.6393  2 Ti 1.94-2.01, 1 Zn 1.99, 1 Li 2.15
O 0.3849 0.8849 0.6151  1 Zn 2.00, 3 Ti 2.07
O 0.3893 0.6062 0.8724  2 Ti 1.94-2.01, 1 Zn 1.99, 1 Li 2.15
O 0.3938 0.3724 0.1107  2 Ti 1.94-2.01, 1 Zn 1.99, 1 Li 2.15
O 0.6062 0.8724 0.3893  2 Ti 1.94-2.01, 1 Zn 1.99, 1 Li 2.15
O 0.6107 0.1062 0.6276  2 Ti 1.94-2.01, 1 Zn 1.99, 1 Li 2.15
O 0.6151 0.3849 0.8849  1 Zn 2.00, 3 Ti 2.07
O 0.6224 0.8562 0.8607  2 Ti 1.94-2.01, 1 Zn 1.99, 1 Li 2.15
O 0.6276 0.6107 0.1062  2 Ti 1.94-2.01, 1 Zn 1.99, 1 Li 2.15
O 0.6349 0.6349 0.6349  1 Zn 2.00, 3 Ti 2.07
O 0.6393 0.3776 0.3562  2 Ti 1.94-2.01, 1 Zn 1.99, 1 Li 2.15
O 0.6438 0.1393 0.1224  2 Ti 1.94-2.01, 1 Zn 1.99, 1 Li 2.15
O 0.8562 0.8607 0.6224  2 Ti 1.94-2.01, 1 Zn 1.99, 1 Li 2.15
O 0.8607 0.6224 0.8562  2 Ti 1.94-2.01, 1 Zn 1.99, 1 Li 2.15
O 0.8651 0.3651 0.1349  1 Zn 2.00, 3 Ti 2.07
O 0.8724 0.3893 0.6062  2 Ti 1.94-2.01, 1 Zn 1.99, 1 Li 2.15
O 0.8776 0.1438 0.3607  2 Ti 1.94-2.01, 1 Zn 1.99, 1 Li 2.15
O 0.8849 0.6151 0.3849  1 Zn 2.00, 3 Ti 2.07
O 0.8893 0.8938 0.1276  2 Ti 1.94-2.01, 1 Zn 1.99, 1 Li 2.15
O 0.8938 0.1276 0.8893  2 Ti 1.94-2.01, 1 Zn 1.99, 1 Li 2.15